# 1
A plane-wave DFT calculation with GGA-PBE was carried out for TbSm5In5 after structural relaxation.

## Properties
Crystal system   monoclinic
Electronic total energy   -4.037 eV/atom

Lattice parameters (Å, degrees): 17.9764 5.7841 6.9643 90.00 112.65 90.00
With the nearest neighbours (Å) after each atom.
Space group C2/m (No. 12)
Inequivalent atoms, fractional coordinates:
Tb1 0.0000 0.0000 0.0000 (multiplicity 2)  6 In 2.89-3.14
Sm1 0.0000 0.0000 0.5000 (multiplicity 2)  4 In 3.32-3.33, 2 Tb 3.48, 4 Sm 3.69
Sm2 0.1380 0.5000 0.6399 (multiplicity 4)  6 In 3.49-3.65, 4 Sm 3.58-3.69
Sm3 0.1872 0.5000 0.1886 (multiplicity 4)  7 In 3.11-3.32
In1 0.0000 0.5000 0.0000 (multiplicity 2)  2 Tb 2.89, 2 Sm 3.11
In2 0.1637 0.0000 0.3889 (multiplicity 4)  4 Sm 3.13-3.32, 1 In 3.14, 1 Tb 3.14
In3 0.1638 0.0000 0.9388 (multiplicity 4)  6 Sm 3.13-3.49, 1 Tb 3.13, 1 In 3.14

***

# 2
A plane-wave DFT calculation with GGA-PBE was carried out for CsTiCdBi2 after structural relaxation.

## Properties
Crystal system   tetragonal
Electronic total energy   -3.579 eV/atom

Lattice parameters (Å, degrees): 5.4937 5.4937 5.7907 90.00 90.00 90.00
With the nearest neighbours (Å) after each atom.
Space group P4/mmm (No. 123)
Inequivalent atoms, fractional coordinates:
Cs1 0.0000 0.0000 0.0000 (multiplicity 1)  4 Cd 3.88, 8 Bi 3.99
Ti1 0.5000 0.5000 0.5000 (multiplicity 1)  4 Bi 2.75, 2 Cd 2.90
Cd1 0.5000 0.5000 0.0000 (multiplicity 1)  2 Ti 2.90
Bi1 0.0000 0.5000 0.5000 (multiplicity 2)  2 Ti 2.75

***

# 3
A plane-wave DFT calculation with GGA-PBE was carried out for BaCaAg2 after structural relaxation.

## Properties
Energy above the most stable polymorph in this dataset   155.4 meV/atom
Crystal system   trigonal

Lattice parameters (Å, degrees): 4.5531 4.5531 23.3788 90.00 90.00 120.00
With the nearest neighbours (Å) after each atom.
Space group R3m (No. 160, hexagonal axes)
Inequivalent atoms, fractional coordinates:
Ba1 0.0000 0.0000 0.0000 (multiplicity 3)  6 Ag 3.37-3.51
Ca1 0.0000 0.0000 0.8250 (multiplicity 3)  6 Ag 3.08-3.17
Ag1 0.0000 0.0000 0.2338 (multiplicity 3)  3 Ca 3.17, 3 Ba 3.51
Ag2 0.0000 0.0000 0.4233 (multiplicity 3)  3 Ca 3.08, 3 Ba 3.37

***

# 4
A plane-wave DFT calculation with GGA-PBE was carried out for ReRuAu after structural relaxation.

## Properties
Energy above the most stable polymorph in this dataset   113.3 meV/atom
Crystal system   orthorhombic

Lattice parameters (Å, degrees): 2.8282 3.8339 8.5253 90.00 90.00 90.00
With the nearest neighbours (Å) after each atom.
Space group Imm2 (No. 44)
Inequivalent atoms, fractional coordinates:
Re1 0.0000 0.0000 0.0000 (multiplicity 2)  4 Ru 2.67, 5 Au 2.74-2.83, 2 Re 2.83
Ru1 0.0000 0.0000 0.6427 (multiplicity 2)  4 Re 2.67, 5 Au 2.74-2.83, 2 Ru 2.83
Au1 0.0000 0.0000 0.3216 (multiplicity 2)  5 Ru 2.74-2.83, 5 Re 2.74-2.83, 2 Au 2.83

***

# 5
A plane-wave DFT calculation with GGA-PBE was carried out for BaZrAs2 after structural relaxation.

## Properties
Energy above the most stable polymorph in this dataset   0.0 meV/atom
Crystal system   trigonal

Lattice parameters (Å, degrees): 4.1167 4.1167 22.3135 90.00 90.00 120.00
With the nearest neighbours (Å) after each atom.
Space group R-3m (No. 166, hexagonal axes)
Inequivalent atoms, fractional coordinates:
Ba1 0.0000 0.0000 0.0000 (multiplicity 3)  6 As 3.26
Zr1 0.0000 0.0000 0.5000 (multiplicity 3)  6 As 2.80
As1 0.0000 0.0000 0.2331 (multiplicity 6)  3 Zr 2.80

***

# 6
A plane-wave DFT calculation with GGA-PBE was carried out for ErSi after structural relaxation.

## Properties
Uncorrected formation energy   -0.9 eV/f.u.
Crystal system   orthorhombic

Lattice parameters (Å, degrees): 3.7590 4.1315 6.1157 90.00 90.00 90.00
With the nearest neighbours (Å) after each atom.
Space group Pmma (No. 51)
Inequivalent atoms, fractional coordinates:
Er1 0.2500 0.0000 0.2423 (multiplicity 2)  6 Si 2.88-3.07
Si1 0.2500 0.5000 0.8706 (multiplicity 2)  2 Si 2.46

***

# 7
A plane-wave DFT calculation with GGA-PBE was carried out for MgAl2Sb after structural relaxation.

## Properties
Uncorrected formation energy   0.4 eV/f.u.
Crystal system   monoclinic

Lattice parameters (Å, degrees): 3.1384 5.1659 5.3017 90.00 92.10 90.00
With the nearest neighbours (Å) after each atom.
Space group P2/m (No. 10)
Inequivalent atoms, fractional coordinates:
Mg1 0.0000 0.0000 0.0000 (multiplicity 1)  4 Sb 3.03-3.13, 4 Al 3.03, 2 Mg 3.14
Al1 0.3348 0.5000 0.2318 (multiplicity 2)  2 Al 2.70-2.99, 2 Sb 2.98
Sb1 0.5000 0.0000 0.5000 (multiplicity 1)  4 Al 2.98, 4 Mg 3.03-3.13, 2 Sb 3.14

***

# 8
A plane-wave DFT calculation with GGA-PBE was carried out for VPt after structural relaxation.

## Properties
Crystal system   tetragonal
Electronic total energy   -7.443 eV/atom

Lattice parameters (Å, degrees): 10.3957 10.3957 2.7740 90.00 90.00 90.00
With the nearest neighbours (Å) after each atom.
Space group I4/m (No. 87)
Inequivalent atoms, fractional coordinates:
V1 0.1655 0.7826 0.0000 (multiplicity 8)  2 V 2.34, 1 Pt 2.47
Pt1 0.0596 0.3426 0.0000 (multiplicity 8)  4 V 2.47-2.70

***

# 9
A plane-wave DFT calculation with GGA-PBE was carried out for NaCo3W after structural relaxation.

## Properties
Energy above the most stable polymorph in this dataset   0.0 meV/atom
Crystal system   cubic

Lattice parameters (Å, degrees): 4.5367 4.5367 4.5367 90.00 90.00 90.00
With the nearest neighbours (Å) after each atom.
Space group Pm-3m (No. 221)
Inequivalent atoms, fractional coordinates:
Na1 0.0000 0.0000 0.0000 (multiplicity 1)  12 Co 3.21
Co1 0.0000 0.5000 0.5000 (multiplicity 3)  2 W 2.27
W1 0.5000 0.5000 0.5000 (multiplicity 1)  6 Co 2.27

***

# 10
A plane-wave DFT calculation with GGA-PBE was carried out for Er2HfUAs4 after structural relaxation.

## Properties
Crystal system   monoclinic
Electronic total energy   -7.295 eV/atom

Lattice parameters (Å, degrees): 6.9316 3.9988 6.9763 90.00 109.08 90.00
With the nearest neighbours (Å) after each atom.
Space group P2/m (No. 10)
Inequivalent atoms, fractional coordinates:
Er1 0.0000 0.0000 0.0000 (multiplicity 1)  6 As 2.83-2.84
Er2 0.5000 0.5000 0.0000 (multiplicity 1)  6 As 2.89-2.90
Hf1 0.0000 0.5000 0.5000 (multiplicity 1)  6 As 2.77-2.78
U1 0.5000 0.0000 0.5000 (multiplicity 1)  6 As 2.83-2.85
As1 0.2397 0.0000 0.7389 (multiplicity 2)  2 Hf 2.78, 1 U 2.83, 3 Er 2.84-2.90
As2 0.2433 0.5000 0.2542 (multiplicity 2)  1 Hf 2.77, 3 Er 2.83-2.89, 2 U 2.85

***

# 11
A plane-wave DFT calculation with GGA-PBE was carried out for MgAg2Ir after structural relaxation.

## Properties
Crystal system   orthorhombic
Electronic total energy   -3.816 eV/atom

Lattice parameters (Å, degrees): 2.9956 4.7569 9.4951 90.00 90.00 90.00
With the nearest neighbours (Å) after each atom.
Space group Cmmm (No. 65)
Inequivalent atoms, fractional coordinates:
Mg1 0.0000 0.0000 0.0000 (multiplicity 2)  4 Ag 2.79, 6 Mg 2.81-3.00
Ag1 0.0000 0.5000 0.2484 (multiplicity 4)  2 Mg 2.79, 6 Ag 2.81-3.00, 2 Ir 2.82
Ir1 0.0000 0.0000 0.5000 (multiplicity 2)  6 Ir 2.81-3.00, 4 Ag 2.82

***

# 12
A plane-wave DFT calculation with GGA-PBE was carried out for Pa2Be5Co5 after structural relaxation.

## Properties
Crystal system   orthorhombic
Electronic total energy   -6.397 eV/atom

Lattice parameters (Å, degrees): 3.8599 4.7419 7.9503 90.00 90.00 90.00
With the nearest neighbours (Å) after each atom.
Space group Pmmm (No. 47)
Inequivalent atoms, fractional coordinates:
Pa1 0.0000 0.0000 0.0000 (multiplicity 1)  6 Co 2.60-2.85
Pa2 0.0000 0.5000 0.5000 (multiplicity 1)  2 Co 2.39
Be1 0.5000 0.0000 0.5000 (multiplicity 1)  4 Be 2.29, 4 Co 2.37
Be2 0.5000 0.2478 0.2523 (multiplicity 4)  3 Be 2.29-2.39, 5 Co 2.31-2.34
Co1 0.0000 0.0000 0.3264 (multiplicity 2)  6 Be 2.34-2.37, 2 Co 2.58, 1 Pa 2.60
Co2 0.0000 0.5000 0.1998 (multiplicity 2)  4 Be 2.31, 1 Pa 2.39, 4 Co 2.50-2.58
Co3 0.5000 0.5000 0.0000 (multiplicity 1)  4 Be 2.34, 4 Co 2.50

***

# 13
A plane-wave DFT calculation with GGA-PBE was carried out for PrThZnAu after structural relaxation.

## Properties
Crystal system   cubic
Electronic total energy   -4.580 eV/atom

Lattice parameters (Å, degrees): 7.4316 7.4316 7.4316 90.00 90.00 90.00
With the nearest neighbours (Å) after each atom.
Space group F-43m (No. 216)
Inequivalent atoms, fractional coordinates:
Pr1 0.0000 0.0000 0.0000 (multiplicity 4)  4 Au 3.22, 4 Zn 3.22
Th1 0.0000 0.0000 0.5000 (multiplicity 4)  4 Zn 3.22, 4 Au 3.22
Zn1 0.2500 0.2500 0.7500 (multiplicity 4)  4 Th 3.22, 4 Pr 3.22
Au1 0.2500 0.2500 0.2500 (multiplicity 4)  4 Th 3.22, 4 Pr 3.22

***

# 14
A plane-wave DFT calculation with GGA-PBE was carried out for La2Pm6SmMg after structural relaxation.

## Properties
Crystal system   monoclinic
Electronic total energy   -4.366 eV/atom

Lattice parameters (Å, degrees): 9.3181 14.8492 9.9556 90.00 100.32 90.00
With the nearest neighbours (Å) after each atom.
Space group C2/c (No. 15)
Inequivalent atoms, fractional coordinates:
La1 0.2491 0.0446 0.0505 (multiplicity 8)  4 Pm 3.21-3.51, 2 Sm 3.41-3.48, 1 Mg 3.50
Pm1 0.0701 0.1890 0.4479 (multiplicity 8)  8 Pm 3.51-3.92, 1 Sm 3.54, 2 La 3.67-3.91, 1 Mg 3.72
Pm2 0.0945 0.3990 0.6131 (multiplicity 8)  3 La 3.21-3.51, 4 Pm 3.42-3.54, 2 Mg 3.43-3.56
Pm3 0.2090 0.2147 0.8087 (multiplicity 8)  1 Mg 3.36, 3 Pm 3.42-3.69, 1 La 3.46, 1 Sm 3.61
Sm1 0.0000 0.0093 0.7500 (multiplicity 4)  4 La 3.41-3.48, 4 Pm 3.54-3.61
Mg1 0.0000 0.4021 0.2500 (multiplicity 4)  8 Pm 3.36-3.72, 2 La 3.50

***

# 15
A plane-wave DFT calculation with GGA-PBE was carried out for KMnMo3 after structural relaxation.

## Properties
Energy above the most stable polymorph in this dataset   0.0 meV/atom
Crystal system   cubic

Lattice parameters (Å, degrees): 4.6458 4.6458 4.6458 90.00 90.00 90.00
With the nearest neighbours (Å) after each atom.
Space group Pm-3m (No. 221)
Inequivalent atoms, fractional coordinates:
K1 0.0000 0.0000 0.0000 (multiplicity 1)  12 Mo 3.29
Mn1 0.5000 0.5000 0.5000 (multiplicity 1)  6 Mo 2.32
Mo1 0.0000 0.5000 0.5000 (multiplicity 3)  2 Mn 2.32

***

# 16
A plane-wave DFT calculation with GGA-PBE was carried out for Fe2IrBr2 after structural relaxation.

## Properties
Uncorrected formation energy   5.0 eV/f.u.
Energy above the most stable polymorph in this dataset   0.0 meV/atom
Crystal system   tetragonal

Lattice parameters (Å, degrees): 7.3293 7.3293 3.0986 90.00 90.00 90.00
With the nearest neighbours (Å) after each atom.
Space group P4/mbm (No. 127)
Inequivalent atoms, fractional coordinates:
Fe1 0.1623 0.3377 0.0000 (multiplicity 4)  6 Br 2.49-2.76
Ir1 0.0000 0.0000 0.5000 (multiplicity 2)  4 Br 2.79, 2 Ir 3.10
Br1 0.1498 0.6498 0.5000 (multiplicity 4)  6 Fe 2.49-2.76

***

# 17
A plane-wave DFT calculation with GGA-PBE was carried out for K3U2CrTe6 after structural relaxation.

## Properties
Uncorrected formation energy   -8.8 eV/f.u.
Crystal system   monoclinic

Lattice parameters (Å, degrees): 7.6695 13.2807 8.6170 90.00 107.35 90.00
With the nearest neighbours (Å) after each atom.
Space group C2/m (No. 12)
Inequivalent atoms, fractional coordinates:
K1 0.0000 0.0000 0.0000 (multiplicity 2)  6 Te 3.50-3.60
K2 0.0000 0.3298 0.0000 (multiplicity 4)  6 Te 3.51-3.58
U1 0.0000 0.1661 0.5000 (multiplicity 4)  6 Te 3.09-3.10
Cr1 0.0000 0.5000 0.5000 (multiplicity 2)  6 Te 2.97-2.98
Te1 0.2275 0.3398 0.7022 (multiplicity 8)  1 Cr 2.97, 2 U 3.10
Te2 0.2474 0.0000 0.7042 (multiplicity 4)  1 Cr 2.98, 2 U 3.09

***

# 18
A plane-wave DFT calculation with GGA-PBE was carried out for ZnNiRh6 after structural relaxation.

## Properties
Crystal system   monoclinic
Electronic total energy   -6.464 eV/atom

Lattice parameters (Å, degrees): 8.5205 3.8065 7.6284 90.00 116.59 90.00
With the nearest neighbours (Å) after each atom.
Space group C2/m (No. 12)
Inequivalent atoms, fractional coordinates:
Zn1 0.0000 0.0000 0.0000 (multiplicity 2)  12 Rh 2.69-2.73
Ni1 0.0000 0.0000 0.5000 (multiplicity 2)  12 Rh 2.66-2.69
Rh1 0.0007 0.5000 0.7442 (multiplicity 4)  2 Ni 2.66, 8 Rh 2.66-2.73, 2 Zn 2.73
Rh2 0.2499 0.0000 0.3759 (multiplicity 4)  8 Rh 2.66-2.70, 3 Ni 2.69, 1 Zn 2.70
Rh3 0.2497 0.0000 0.8734 (multiplicity 4)  1 Ni 2.69, 8 Rh 2.69-2.73, 3 Zn 2.69-2.70

***

# 19
A plane-wave DFT calculation with GGA-PBE was carried out for YTi2Ir2 after structural relaxation.

## Properties
Energy above the most stable polymorph in this dataset   0.0 meV/atom
Crystal system   tetragonal

Lattice parameters (Å, degrees): 4.2441 4.2441 10.7730 90.00 90.00 90.00
With the nearest neighbours (Å) after each atom.
Space group I4/mmm (No. 139)
Inequivalent atoms, fractional coordinates:
Y1 0.0000 0.0000 0.0000 (multiplicity 2)  8 Ir 3.27, 8 Ti 3.43
Ti1 0.0000 0.5000 0.2500 (multiplicity 4)  4 Ir 2.54
Ir1 0.0000 0.0000 0.3801 (multiplicity 4)  4 Ti 2.54, 1 Ir 2.58

***

# 20
A plane-wave DFT calculation with GGA-PBE was carried out for PrHo2CdHg4 after structural relaxation.

## Properties
Crystal system   trigonal
Electronic total energy   -2.411 eV/atom

Lattice parameters (Å, degrees): 5.0980 5.0980 27.4265 90.00 90.00 120.00
With the nearest neighbours (Å) after each atom.
Space group R-3m (No. 166, hexagonal axes)
Inequivalent atoms, fractional coordinates:
Pr1 0.0000 0.0000 0.0000 (multiplicity 3)  8 Hg 3.22-3.41
Ho1 0.0000 0.0000 0.2391 (multiplicity 6)  7 Hg 3.06-3.21
Cd1 0.0000 0.0000 0.5000 (multiplicity 3)  8 Hg 3.16-3.26
Hg1 0.0000 0.0000 0.1243 (multiplicity 6)  4 Ho 3.06-3.15, 3 Cd 3.16, 1 Pr 3.41
Hg2 0.0000 0.0000 0.3810 (multiplicity 6)  3 Ho 3.21, 3 Pr 3.22, 1 Cd 3.26

***

# 21
A plane-wave DFT calculation with GGA-PBE was carried out for Sr3Li5F12 after structural relaxation.

## Properties
Uncorrected formation energy   -63.9 eV/f.u.
Crystal system   cubic

Lattice parameters (Å, degrees): 12.8789 12.8789 12.8789 90.00 90.00 90.00
With the nearest neighbours (Å) after each atom.
Space group Ia-3d (No. 230)
Inequivalent atoms, fractional coordinates:
Sr1 0.0000 0.2500 0.1250 (multiplicity 24)  8 F 2.48-2.55
Li1 0.0000 0.0000 0.0000 (multiplicity 16)  6 F 2.11
Li2 0.0000 0.2500 0.3750 (multiplicity 24)  4 F 1.91
F1 0.0301 0.0563 0.6513 (multiplicity 96)  2 Li 1.91-2.11